Ba4TlCd2Ag | PBE | relaxed

Its energy is -51.942 eV per cell.

It has space group R-3m (No. 166, hexagonal axes), with a = 5.9953 Å, b = 5.9953 Å, c = 29.3267 Å, α = 90.00°, β = 90.00° and γ = 120.00°. The inequivalent atoms are Ba at (0.0000, 0.0000, 0.1227), Ba at (0.0000, 0.0000, 0.3737), Tl at (0.0000, 0.0000, 0.5000), Cd at (0.0000, 0.0000, 0.2472) and Ag at (0.0000, 0.0000, 0.0000).